A geometry-optimized Dy2HoHg structure. Source: Alexandria via LeMat-Bulk, functional GGA-PBE.

Structure (extended XYZ):
```
16
Lattice="6.719 0.000 0.000 0.000 6.921 0.000 0.000 0.000 10.078" Properties=species:S:1:pos:R:3 pbc="T T T"
Dy 1.280 4.833 0.419
Dy 2.079 1.372 4.620
Dy 5.439 2.088 5.458
Dy 4.640 5.548 9.659
Dy 5.439 2.088 9.659
Dy 4.640 5.548 5.458
Dy 1.280 4.833 4.620
Dy 2.079 1.372 0.419
Ho 4.085 3.424 2.519
Ho 5.993 6.884 2.519
Ho 2.634 3.497 7.558
Ho 0.725 0.037 7.558
Hg 0.319 2.863 2.519
Hg 3.040 6.324 2.519
Hg 6.400 4.057 7.558
Hg 3.678 0.597 7.558
```

Values from the calculation:
- density of states at the Fermi level (states/eV/atom) = 1.09
- symmetry = Pnma (62)

---

A geometry-optimized Dy2HoHg3 structure. Source: Alexandria via LeMat-Bulk, functional GGA-PBE.

Structure (extended XYZ):
```
6
Lattice="3.725 0.000 0.000 0.000 3.725 0.000 0.000 0.000 11.113" Properties=species:S:1:pos:R:3 pbc="T T T"
Dy 1.862 1.862 9.257
Dy 1.862 1.862 1.857
Ho 1.862 1.862 5.557
Hg 0.000 0.000 0.000
Hg 0.000 0.000 7.394
Hg 0.000 0.000 3.719
```

Values from the calculation:
- density of states at the Fermi level (states/eV/atom) = 0.98
- symmetry = P4/mmm (123)

---

A geometry-optimized DyHoHg3 structure. Source: Alexandria via LeMat-Bulk, functional GGA-PBE.

Structure (extended XYZ):
```
10
Lattice="5.696 0.000 0.000 0.000 5.696 0.000 -2.848 -2.848 10.739" Properties=species:S:1:pos:R:3 pbc="T T T"
Dy 0.000 0.000 0.000
Dy 0.000 2.848 5.370
Ho 2.848 0.000 3.537
Ho 2.848 0.000 7.202
Hg 1.398 2.848 8.128
Hg 0.000 4.246 2.611
Hg 0.000 1.450 2.611
Hg -1.398 2.848 8.128
Hg 0.000 0.000 6.146
Hg 2.848 2.848 4.593
```

Values from the calculation:
- density of states at the Fermi level (states/eV/atom) = 0.98
- symmetry = I-4m2 (119)

---

A geometry-optimized Dy5HoHg3 structure. Source: Alexandria via LeMat-Bulk, functional GGA-PBE.

Structure (extended XYZ):
```
18
Lattice="6.913 0.000 0.000 0.000 9.071 0.000 0.000 -4.536 7.856" Properties=species:S:1:pos:R:3 pbc="T T T"
Dy 0.000 4.536 2.619
Dy 3.456 0.000 5.237
Dy 0.000 0.000 5.237
Dy 3.456 4.536 2.619
Dy 5.185 3.025 5.239
Dy 5.185 7.560 2.617
Dy 5.185 3.022 0.000
Dy 1.728 1.511 2.617
Dy 1.728 -3.025 5.239
Dy 1.728 6.049 0.000
Ho 0.000 0.000 0.000
Ho 3.456 0.000 0.000
Hg 5.185 1.511 2.618
Hg 5.185 6.047 5.238
Hg 5.185 6.048 0.000
Hg 1.728 3.024 5.238
Hg 1.728 -1.511 2.618
Hg 1.728 3.023 0.000
```

Values from the calculation:
- density of states at the Fermi level (states/eV/atom) = 0.40
- symmetry = P6_3/mcm (193)

---

A geometry-optimized DyHo2Hg structure. Source: Alexandria via LeMat-Bulk, functional GGA-PBE.

Structure (extended XYZ):
```
4
Lattice="3.627 -0.002 0.000 1.812 3.142 0.000 1.812 1.046 10.410" Properties=species:S:1:pos:R:3 pbc="T T T"
Dy 3.624 2.093 5.202
Ho 1.814 1.047 8.031
Ho 1.813 1.046 2.375
Hg 3.626 2.093 0.006
```

Values from the calculation:
- density of states at the Fermi level (states/eV/atom) = 1.35
- symmetry = R3m (160)

---

A geometry-optimized DyHo5Hg2 structure. Source: Alexandria via LeMat-Bulk, functional GGA-PBE.

Structure (extended XYZ):
```
8
Lattice="-1.622 -2.821 1.663 6.335 -4.159 3.139 -0.022 2.290 7.876" Properties=species:S:1:pos:R:3 pbc="T T T"
Dy 0.000 0.000 0.000
Ho 3.157 -0.935 5.508
Ho 2.700 -3.928 4.000
Ho 1.992 -0.762 8.678
Ho 4.857 -3.669 6.542
Ho -0.166 -1.021 6.136
Hg 3.634 -3.503 9.645
Hg 1.057 -1.186 3.033
```

Values from the calculation:
- density of states at the Fermi level (states/eV/atom) = 0.97
- symmetry = Immm (71)

---

A geometry-optimized Dy2Ho2Hg7 structure. Source: Alexandria via LeMat-Bulk, functional GGA-PBE.

Structure (extended XYZ):
```
11
Lattice="-0.760 4.990 5.373 -4.417 -3.965 0.247 1.355 -4.992 5.253" Properties=species:S:1:pos:R:3 pbc="T T T"
Dy -3.900 -2.014 5.548
Dy 0.077 -1.953 5.325
Ho -1.712 -1.984 8.999
Ho -2.111 -1.983 1.874
Hg -0.618 1.052 8.105
Hg -2.899 -5.020 8.232
Hg -3.205 -5.019 2.768
Hg -0.924 1.053 2.641
Hg 0.000 0.000 0.000
Hg -1.723 -4.387 5.426
Hg -2.100 0.420 5.447
```

Values from the calculation:
- density of states at the Fermi level (states/eV/atom) = 0.58
- symmetry = C2/m (12)

---

A geometry-optimized DyHo2Hg structure. Source: Alexandria via LeMat-Bulk, functional GGA-PBE.

Structure (extended XYZ):
```
4
Lattice="3.582 0.000 0.000 0.000 3.582 0.000 0.000 0.000 8.888" Properties=species:S:1:pos:R:3 pbc="T T T"
Dy 1.791 1.791 4.444
Hg 1.791 1.791 0.000
Ho 0.000 0.000 6.905
Ho 0.000 0.000 1.984
```

Values from the calculation:
- density of states at the Fermi level (states/eV/atom) = 1.12
- symmetry = P4/mmm (123)

---

A geometry-optimized DyHo2Hg structure. Source: Alexandria via LeMat-Bulk, functional GGA-PBE.

Structure (extended XYZ):
```
4
Lattice="-0.684 1.445 -4.506 -4.744 -0.169 0.665 0.042 4.566 1.458" Properties=species:S:1:pos:R:3 pbc="T T T"
Dy -0.342 0.722 -2.253
Hg -2.693 2.921 -1.192
Ho 0.021 2.283 0.729
Ho -2.372 -0.085 0.333
```

Values from the calculation:
- density of states at the Fermi level (states/eV/atom) = 1.32
- symmetry = P4/mmm (123)

---

A geometry-optimized Dy2Ho3Hg2 structure. Source: Alexandria via LeMat-Bulk, functional GGA-PBE.

Structure (extended XYZ):
```
7
Lattice="-1.753 -1.895 -4.659 5.235 0.201 0.993 -3.195 -6.769 3.956" Properties=species:S:1:pos:R:3 pbc="T T T"
Dy 1.951 -3.439 -2.380
Dy -1.665 -5.024 2.670
Ho -0.877 -0.948 -2.330
Ho -1.014 -4.381 -0.881
Ho 1.301 -4.082 1.171
Hg -1.125 -7.192 0.304
Hg 1.412 -1.271 -0.014
```

Values from the calculation:
- density of states at the Fermi level (states/eV/atom) = 1.05
- symmetry = C2/m (12)

---

Size of the total moment readings, ordered: 0.001, 0.001, 0.000, 0.000, 0.231, 0.000, 0.000, 0.000, 0.510, 0.000 μB/cell
Calculated volume readings, ordered: 29.29, 25.70, 34.84, 27.37, 29.66, 28.71, 25.43, 28.51, 27.46, 27.74 A^3/atom
Formation enthalpy at 0 K readings, ordered: -205, -480, 60, -312, -158, -157, -297, -228, -154, -240 meV/atom